# 1
A plane-wave DFT calculation with PBE was carried out for a relaxed structure of Pr4Sm8Tm.

Computed properties:
- SG = R-3m, No. 166
- size of the total moment (μB/atom) = 0.12
- formation enthalpy at 0 K (kJ per mole of atoms) = 47.3

Lattice parameters (Å, degrees): 11.2398 11.2398 7.9079 90.00 135.29 120.00
Last column: nearest neighbours and their distance in Å.
Fractional coordinates of all 13 atoms:
1 Tm 0.0000 0.5000 0.5000  8 Sm 3.55-3.57, 6 Pr 3.95
2 Sm 0.5231 0.7615 0.2846  4 Pr 3.23-3.49, 1 Tm 3.55
3 Sm 0.5248 0.7624 0.7694  4 Pr 3.30-3.48, 1 Tm 3.57
4 Sm 0.4752 0.2376 0.2306  4 Pr 3.30-3.48, 1 Tm 3.57
5 Sm 0.0070 0.7624 0.7694  4 Pr 3.30-3.48, 1 Tm 3.57
6 Sm 0.9930 0.2376 0.2306  4 Pr 3.30-3.48, 1 Tm 3.57
7 Pr 0.5000 0.0000 0.0000  8 Sm 3.46-3.49
8 Sm 0.4769 0.2385 0.7154  4 Pr 3.23-3.49, 1 Tm 3.55
9 Sm 0.9930 0.7554 0.2306  4 Pr 3.30-3.48, 1 Tm 3.57
10 Pr 0.0000 0.0000 0.0000  8 Sm 3.23-3.30
11 Pr 0.0000 0.5000 0.0000  8 Sm 3.46-3.49
12 Pr 0.5000 0.5000 0.0000  8 Sm 3.46-3.49
13 Sm 0.0070 0.2446 0.7694  4 Pr 3.30-3.48, 1 Tm 3.57

# 2
A plane-wave DFT calculation with PBE was carried out for a relaxed structure of Pr3Sm5Tm3.

Computed properties:
- SG = P-62m, No. 189
- size of the total moment (μB/atom) = 0.00
- formation enthalpy at 0 K (kJ per mole of atoms) = 71.3
- energy relative to the lowest polymorph listed for this composition (meV per atom) = 404

Lattice parameters (Å, degrees): 5.6239 9.7209 9.7209 120.00 90.00 90.00
Last column: nearest neighbours and their distance in Å.
Fractional coordinates of all 11 atoms:
1 Pr 0.0000 0.4267 0.4267  2 Sm 3.19, 2 Tm 3.44
2 Sm 0.5000 0.6667 0.3333  3 Tm 3.08
3 Sm 0.5000 0.7288 0.0000  2 Pr 3.19, 3 Tm 3.22-3.50
4 Pr 0.0000 0.5733 0.0000  2 Sm 3.19, 2 Tm 3.44
5 Sm 0.5000 0.0000 0.7288  2 Pr 3.19, 3 Tm 3.22-3.50
6 Sm 0.5000 0.3333 0.6667  3 Tm 3.08
7 Tm 0.5000 0.6308 0.6308  4 Sm 3.08-3.22, 2 Pr 3.44
8 Tm 0.5000 0.3692 0.0000  4 Sm 3.08-3.22, 2 Pr 3.44
9 Pr 0.0000 0.0000 0.5733  2 Sm 3.19, 2 Tm 3.44
10 Sm 0.5000 0.2712 0.2712  2 Pr 3.19, 3 Tm 3.22-3.50
11 Tm 0.5000 0.0000 0.3692  4 Sm 3.08-3.22, 2 Pr 3.44